This record from the Alexandria database describes a relaxed structure of AlGa2Ag8. The functional is PBE-GGA.

Cell: 6.875 6.875 4.837 Å, 101.53 101.53 85.02°
Fractional positions:
Al  0.000  0.000  0.000
Ga  0.147  0.147  0.550
Ga  0.853  0.853  0.450
Ag  0.157  0.671  0.200
Ag  0.267  0.267  0.119
Ag  0.329  0.843  0.800
Ag  0.423  0.423  0.707
Ag  0.577  0.577  0.293
Ag  0.671  0.157  0.200
Ag  0.733  0.733  0.881
Ag  0.843  0.329  0.800

DOS at the Fermi energy (states/eV/atom): 0.2338
Crystal system: monoclinic
Mass density (g cm⁻³): 7.80
Calculated total energy (eV per cell): -31.4